Record 1
DFT (SCAN) results for CsMg2Pb2 at its PBEsol-relaxed geometry.

Output
The crystal system is tetragonal. The calculation puts the density of states at the Fermi level at 0.33 states/eV/atom. The calculation puts the total moment at 0.000 μB per formula unit. The calculated total energy is -400.585 eV/cell.

abc: 9.4375 9.4375 3.3332
angles: 90.00 90.00 90.00
Positions (direct):
Cs1 0.0000 0.0000 0.0000
Cs2 0.5000 0.5000 0.0000
Mg1 0.1284 0.3716 0.0000
Mg2 0.3716 0.8716 0.0000
Mg3 0.6284 0.1284 0.0000
Mg4 0.8716 0.6284 0.0000
Pb1 0.1561 0.6561 0.5000
Pb2 0.3439 0.1561 0.5000
Pb3 0.6561 0.8439 0.5000
Pb4 0.8439 0.3439 0.5000



Record 2
DFT (SCAN) results for Cd2Os2O7 at its PBEsol-relaxed geometry.

Output
The crystal system is cubic. For the uncorrected formation energy, the calculation gives -1119 meV per atom. The calculation puts the density of states at the Fermi level at 0.48 states/eV/atom. The calculation puts the total moment at 0.000 μB per formula unit. The calculated total energy is -521.033 eV/cell.

abc: 7.2011 7.2011 7.2011
angles: 60.00 60.00 60.00
Positions (direct):
Cd1 0.0000 0.0000 0.0000
Cd2 0.0000 0.0000 0.5000
Cd3 0.0000 0.5000 0.0000
Cd4 0.5000 0.0000 0.0000
Os1 0.0000 0.5000 0.5000
Os2 0.5000 0.0000 0.5000
Os3 0.5000 0.5000 0.0000
Os4 0.5000 0.5000 0.5000
O1 0.1250 0.1250 0.1250
O2 0.1816 0.1816 0.5684
O3 0.1816 0.5684 0.1816
O4 0.1816 0.5684 0.5684
O5 0.4316 0.4316 0.8184
O6 0.4316 0.8184 0.4316
O7 0.4316 0.8184 0.8184
O8 0.5684 0.1816 0.1816
O9 0.5684 0.1816 0.5684
O10 0.5684 0.5684 0.1816
O11 0.8184 0.4316 0.4316
O12 0.8184 0.4316 0.8184
O13 0.8184 0.8184 0.4316
O14 0.8750 0.8750 0.8750



Record 3
DFT (SCAN) results for Ba2SrCa at its PBEsol-relaxed geometry.

Output
The crystal system is orthorhombic. The calculation puts the density of states at the Fermi level at 1.08 states/eV/atom. The calculation puts the total moment at 0.080 μB per formula unit. The calculated total energy is -110.911 eV/cell.

abc: 4.7644 6.5559 6.5648
angles: 90.00 90.00 90.00
Positions (direct):
Ba1 0.0000 0.0000 0.0000
Ba2 0.5000 0.5000 0.0000
Sr1 0.0000 0.5000 0.5000
Ca1 0.5000 0.0000 0.5000



Record 4
DFT (SCAN) results for RbMnP3HO10 at its PBEsol-relaxed geometry.

Output
The crystal system is monoclinic. The calculation puts the total moment at 4.000 μB per formula unit. The calculated total energy is -346.068 eV/cell.

abc: 7.4903 7.4903 8.8947
angles: 104.07 104.07 69.32
Positions (direct):
Rb1 0.2374 0.2374 0.2693
Rb2 0.7626 0.7626 0.7307
Mn1 0.1572 0.8428 0.5000
Mn2 0.6655 0.3345 0.0000
P1 0.3286 0.1995 0.7136
P2 0.3461 0.5907 0.7711
P3 0.4093 0.6539 0.2289
P4 0.8003 0.0555 0.2656
P5 0.8005 0.6714 0.2864
P6 0.9445 0.1997 0.7344
H1 0.2414 0.7585 0.0000
H2 0.7350 0.2650 0.5000
O1 0.0124 0.0036 0.3475
O2 0.1430 0.2550 0.7965
O3 0.1839 0.6867 0.8686
O4 0.2907 0.6506 0.3444
O5 0.3010 0.4000 0.6601
O6 0.3133 0.8161 0.1314
O7 0.3168 0.0549 0.5647
O8 0.3494 0.7093 0.6556
O9 0.4692 0.4514 0.1288
O10 0.5054 0.1542 0.8379
O11 0.5486 0.5308 0.8712
O12 0.6000 0.6990 0.3399
O13 0.6611 0.1876 0.3769
O14 0.7450 0.8570 0.2035
O15 0.7812 0.1252 0.1145
O16 0.8124 0.3389 0.6231
O17 0.8458 0.4946 0.1621
O18 0.8748 0.2188 0.8855
O19 0.9451 0.6832 0.4353
O20 0.9964 0.9876 0.6525



Record 5
DFT (SCAN) results for Rb2B4O7 at its PBEsol-relaxed geometry.

Output
The crystal system is triclinic. For the uncorrected formation energy, the calculation gives -2596 meV per atom. The calculation puts the density of states at the Fermi level at 0.00 states/eV/atom. The calculation puts the total moment at 0.001 μB per formula unit. The calculated total energy is -594.266 eV/cell.

abc: 6.6427 9.8758 10.6316
angles: 89.39 76.83 78.73
Positions (direct):
Rb1 0.1398 0.1242 0.0470
Rb2 0.1675 0.5214 0.1260
Rb3 0.2608 0.9946 0.4053
Rb4 0.2647 0.6219 0.5066
Rb5 0.7353 0.3781 0.4934
Rb6 0.7392 0.0054 0.5947
Rb7 0.8325 0.4786 0.8740
Rb8 0.8602 0.8758 0.9530
B1 0.0610 0.1592 0.7371
B2 0.1935 0.2916 0.5497
B3 0.2985 0.9119 0.7347
B4 0.3317 0.3113 0.7486
B5 0.3544 0.7955 0.1504
B6 0.3712 0.5578 0.8042
B7 0.4024 0.2936 0.3183
B8 0.4320 0.7735 0.9007
B9 0.5680 0.2265 0.0993
B10 0.5976 0.7064 0.6817
B11 0.6288 0.4422 0.1958
B12 0.6456 0.2045 0.8496
B13 0.6683 0.6887 0.2514
B14 0.7015 0.0881 0.2653
B15 0.8065 0.7084 0.4503
B16 0.9390 0.8408 0.2629
O1 0.0313 0.2309 0.6159
O2 0.1413 0.8496 0.1734
O3 0.1693 0.0156 0.6874
O4 0.1798 0.2284 0.8044
O5 0.2057 0.3086 0.4190
O6 0.2746 0.4461 0.8230
O7 0.2951 0.9000 0.8641
O8 0.3159 0.6566 0.9031
O9 0.3302 0.3370 0.6098
O10 0.3670 0.2556 0.1954
O11 0.4340 0.8171 0.6429
O12 0.4456 0.7545 0.2525
O13 0.4765 0.7888 0.0270
O14 0.4814 0.4270 0.3073
O15 0.5186 0.5730 0.6927
O16 0.5235 0.2112 0.9730
O17 0.5544 0.2455 0.7475
O18 0.5660 0.1829 0.3571
O19 0.6330 0.7444 0.8046
O20 0.6698 0.6630 0.3902
O21 0.6841 0.3434 0.0969
O22 0.7049 0.1000 0.1359
O23 0.7254 0.5539 0.1770
O24 0.7943 0.6914 0.5810
O25 0.8202 0.7716 0.1956
O26 0.8307 0.9844 0.3126
O27 0.8587 0.1504 0.8266
O28 0.9687 0.7691 0.3841



Record 6
DFT (SCAN) results for CoTcBr2 at its PBEsol-relaxed geometry.

Output
The crystal system is orthorhombic. For the uncorrected formation energy, the calculation gives 853 meV per atom. The calculation puts the density of states at the Fermi level at 0.64 states/eV/atom. The calculation puts the total moment at 0.783 μB per formula unit. The calculated total energy is -87.870 eV/cell.

abc: 5.1194 5.1194 5.1194
angles: 145.54 113.73 76.88
Positions (direct):
Co1 0.0000 0.0000 0.0000
Tc1 0.5000 0.5000 0.0000
Br1 0.2429 0.7429 0.5000
Br2 0.7571 0.2571 0.5000



- Which value of calculated total energy does entry 2 give?
  -521.033 eV/cell



- The highest calculated total energy belongs to which entry?
  CoTcBr2